Entry 1:
The following is a GGA-PBE calculation of a relaxed structure of RbLiRu2, from the Alexandria database.

a = 4.741 Å, b = 4.741 Å, c = 4.741 Å
α = 60.00°, β = 60.00°, γ = 60.00°
Site moments in Bohr magnetons follow the coordinates.
Fractional coordinates of all 4 atoms:
Ru (0.250, 0.250, 0.250)  1.61
Ru (0.750, 0.750, 0.750)  1.61
Rb (0.500, 0.500, 0.500)  0.03
Li (0.000, 0.000, 0.000)  -0.03

Values from the calculation:
* Fermi-level density of states: 4.8 states/eV/f.u.
* calculated volume: 18.84 Å³ per atom
* SG: No. 225
* formation energy: 38.9 kcal/mol of atoms
* E_tot: -3.67 eV/atom
* excess energy over the best structure of this formula in the dataset: 0.584 eV/atom

***

Entry 2:
The following is a GGA-PBE calculation of a relaxed structure of LaCe2TlO, from the Alexandria database.

a = 5.108 Å, b = 4.919 Å, c = 4.919 Å
α = 90.00°, β = 90.00°, γ = 90.00°
Site moments in Bohr magnetons follow the coordinates.
Fractional coordinates of all 5 atoms:
O (0.000, 0.000, 0.000)  -0.03
Ce (0.000, 0.000, 0.500)  0.84
Ce (0.000, 0.500, 0.000)  0.84
La (0.500, 0.000, 0.000)  0.08
Tl (0.500, 0.500, 0.500)  -0.01

Values from the calculation:
* raw formation energy: -1.29 eV per atom
* Fermi-level density of states: 9.5 states/eV/f.u.
* calculated volume: 24.72 Å³ per atom
* SG: No. 123
* E_tot: -6.11 eV/atom

***

What is the formula in the first record?
RbLiRu2